DFT (PBE+U) results for a relaxed structure of Ba2Cu2MoO6.

Computed properties:
E_tot: -67.888 eV/f.u.

POSCAR file:
```
Ba2Cu2MoO6
1.0
5.9985 0.0000 0.0000
2.9992 5.1948 0.0000
2.9992 1.7316 5.2699
O Ba Mo Cu
6 2 1 2
Cartesian
4.3493 2.5111 4.0727 O
7.6477 2.5111 4.0727 O
5.9985 1.5589 1.1973 O
5.9985 5.3675 4.0727 O
4.3493 4.4154 1.1973 O
7.6477 4.4154 1.1973 O
8.9977 5.1948 3.5701 Ba
2.9992 1.7316 1.6998 Ba
0.0000 0.0000 0.0000 Mo
5.9985 3.4632 1.3746 Cu
5.9985 3.4632 3.8954 Cu
```